(1)
Entry from Alexandria via LeMat-Bulk: a relaxed Zr2FeRe2 crystal (PBE-GGA).

Structure (extended XYZ):
```
10
Lattice="6.428 0.000 0.000 0.000 6.428 0.000 0.000 0.000 4.391" Properties=species:S:1:pos:R:3 pbc="T T T"
Zr 1.151 2.063 0.000
Zr 2.063 5.276 0.000
Zr 4.365 1.151 0.000
Zr 5.276 4.365 0.000
Fe 0.000 0.000 2.195
Fe 3.214 3.214 2.195
Re 0.864 4.078 2.195
Re 2.350 0.864 2.195
Re 4.078 5.563 2.195
Re 5.563 2.350 2.195
```

***

(2)
Entry from Alexandria via LeMat-Bulk: a relaxed ZrFe2Re2 crystal (PBE-GGA).

Structure (extended XYZ):
```
10
Lattice="7.414 0.000 0.000 0.000 7.414 0.000 0.000 0.000 2.662" Properties=species:S:1:pos:R:3 pbc="T T T"
Zr 0.000 0.000 0.000
Zr 3.707 3.707 0.000
Fe 1.264 2.443 1.331
Fe 2.443 6.150 1.331
Fe 4.971 1.264 1.331
Fe 6.150 4.971 1.331
Re 0.923 4.630 0.000
Re 2.784 0.923 0.000
Re 4.630 6.491 0.000
Re 6.491 2.784 0.000
```

***

(3)
Entry from Alexandria via LeMat-Bulk: a relaxed ZrFeRe2 crystal (PBE-GGA).

Structure (extended XYZ):
```
4
Lattice="-1.567 2.217 4.539 1.567 -2.217 4.539 1.567 2.217 -4.539" Properties=species:S:1:pos:R:3 pbc="T T T"
Zr 0.000 0.000 0.000
Fe 0.000 0.000 4.539
Re 1.567 0.000 2.348
Re 0.000 2.217 2.190
```

***

(4)
Entry from Alexandria via LeMat-Bulk: a relaxed ZrFeRe2 crystal (PBE-GGA).

Structure (extended XYZ):
```
4
Lattice="2.745 0.000 0.000 0.000 2.745 0.000 0.000 0.000 8.176" Properties=species:S:1:pos:R:3 pbc="T T T"
Zr 0.000 0.000 0.000
Fe 0.000 0.000 4.088
Re 1.372 1.372 2.377
Re 1.372 1.372 5.799
```

***

(5)
Entry from Alexandria via LeMat-Bulk: a relaxed ZrFe2Re2 crystal (PBE-GGA).

Structure (extended XYZ):
```
5
Lattice="-1.960 1.960 5.185 1.960 -1.960 5.185 1.960 1.960 -5.185" Properties=species:S:1:pos:R:3 pbc="T T T"
Zr 0.000 0.000 0.000
Fe 1.960 0.000 2.593
Fe 0.000 1.960 2.593
Re 0.000 0.000 3.964
Re 0.000 0.000 6.407
```

***

(6)
Entry from Alexandria via LeMat-Bulk: a relaxed ZrFe9Re2 crystal (PBE-GGA).

Structure (extended XYZ):
```
12
Lattice="2.364 1.365 7.798 -2.364 1.365 7.798 0.000 -2.730 7.798" Properties=species:S:1:pos:R:3 pbc="T T T"
Zr 0.000 0.000 0.000
Fe -1.196 -0.690 9.828
Fe 0.000 0.000 7.798
Fe 0.000 -1.381 13.565
Fe -1.196 0.690 13.565
Fe 0.000 0.000 11.696
Fe 1.196 -0.690 9.828
Fe 0.000 1.381 9.828
Fe 0.000 0.000 15.594
Fe 1.196 0.690 13.565
Re 0.000 0.000 3.452
Re 0.000 0.000 19.940
```

***

no.,DOS(E_F) (states/eV/f.u.),total DFT energy (no corrections) (eV per atom)
1,5.02,-10.00
2,6.86,-9.98
3,3.43,-10.42
4,4.28,-10.36
5,3.67,-9.90
6,14.81,-9.15